4
Lattice="2.992 0.000 0.000 0.000 4.327 0.000 0.000 0.000 4.600" Properties=species:S:1:pos:R:3 comment="P2IrCl GGA-PBE optimized geometry" e_form_raw_ev_per_fu=3.30 polymorph_energy_ev_per_atom=1.1097 dos_at_fermi_per_ev_fu=2.1 pbc="T T T"
P 0.000 0.000 0.000
P 1.496 2.164 0.000
Ir 0.000 2.164 2.300
Cl 1.496 0.000 2.300